TaCrRu2C at its PBEsol-relaxed geometry. Source: the Alexandria database, functional SCAN.

Results
D(E_F): 0.6811 states/eV per atom
Energy of formation from the pure elements: 2.7649 eV/atom

Cell: 4.7447 4.5902 4.5902 Å, 90.00 90.00 90.00°
Last column: magnetic moment on the atom in μB.
Positions (direct):
Ru: 0.0000 0.0000 0.5000  0.91
Ru: 0.0000 0.5000 0.0000  0.91
C: 0.5000 0.5000 0.5000  -0.66
Cr: 0.5000 0.0000 0.0000  3.55
Ta: 0.0000 0.0000 0.0000  -0.23